1.
{
  "formula": "CeNiPdAu",
  "functional": "PBE",
  "state": "optimized geometry",
  "lattice_angstrom": [[4.700, 0.000, 0.000], [2.350, 4.070, 0.000], [2.350, 1.357, 3.837]],
  "species": ["Au", "Pd", "Ni", "Ce"],
  "fractional_positions": [[0.500, 0.500, 0.500], [0.750, 0.750, 0.750], [0.250, 0.250, 0.250], [0.000, 0.000, 0.000]],
  "space_group": "F-43m (216)",
  "formation_enthalpy_0k_ev_per_atom": -0.437,
  "total_energy_ev_per_cell": -21.9
}


2.
{
  "formula": "BeTe2",
  "functional": "PBE",
  "state": "optimized geometry",
  "lattice_angstrom": [[-5.592, -0.575, 4.957], [-2.796, -2.494, 6.491], [1.553, 4.912, 3.314]],
  "species": ["Be", "Be", "Te", "Te", "Te", "Te"],
  "fractional_positions": [[0.500, 0.500, 0.750], [0.500, 0.500, 0.250], [0.121, 0.121, 0.267], [0.121, 0.121, 0.767], [0.879, 0.879, 0.233], [0.879, 0.879, 0.733]],
  "space_group": "C2/m (12)",
  "total_energy_ev_per_cell": -19.1,
  "polymorph_energy_kj_per_mol_atoms": 29.5,
  "formation_energy_uncorrected_ev_per_atom": 0.16
}


3.
{
  "formula": "MoAsSe3",
  "functional": "PBE",
  "state": "optimized geometry",
  "lattice_angstrom": [[-3.746, -3.218, 0.714], [0.995, -2.134, -4.399], [3.142, -3.160, 2.244]],
  "species": ["Se", "Se", "Se", "Mo", "As"],
  "fractional_positions": [[0.500, 0.000, 0.000], [0.000, 0.000, 0.500], [0.000, 0.500, 0.000], [0.500, 0.500, 0.500], [0.000, 0.000, 0.000]],
  "space_group": "Pm-3m (221)",
  "total_energy_ev_per_cell": -21.2,
  "polymorph_energy_kj_per_mol_atoms": 44.2,
  "formation_energy_uncorrected_ev_per_atom": 0.94
}


4.
{
  "formula": "Ta4Ga2B",
  "functional": "PBE",
  "state": "optimized geometry",
  "lattice_angstrom": [[-3.228, 2.039, 1.708], [-1.839, 0.231, -3.750], [-5.738, -4.941, 0.176]],
  "species": ["Ga", "Ga", "Ta", "Ta", "Ta", "Ta", "B"],
  "fractional_positions": [[0.356, 0.356, 0.288], [0.644, 0.644, 0.712], [0.000, 0.500, 0.000], [0.840, 0.840, 0.320], [0.500, 0.000, 0.000], [0.160, 0.160, 0.680], [0.000, 0.000, 0.000]],
  "space_group": "I4/mmm (139)",
  "formation_enthalpy_0k_ev_per_atom": 0.058,
  "total_energy_ev_per_cell": -59.7,
  "polymorph_energy_kj_per_mol_atoms": 28.2
}


5.
{
  "formula": "Y2ZrTe",
  "functional": "PBE",
  "state": "optimized geometry",
  "lattice_angstrom": [[-2.159, 2.661, 1.706], [-2.890, -2.498, 0.238], [2.482, -2.239, 6.634]],
  "species": ["Y", "Y", "Zr", "Te"],
  "fractional_positions": [[0.000, 0.000, 0.988], [0.000, 0.000, 0.512], [0.500, 0.500, 0.250], [0.500, 0.500, 0.750]],
  "space_group": "P4/mmm (123)",
  "total_energy_ev_per_cell": -26.6,
  "formation_energy_uncorrected_ev_per_atom": -0.49
}


6.
{
  "formula": "Tl4Ga",
  "functional": "PBE",
  "state": "optimized geometry",
  "lattice_angstrom": [[6.787, 0.000, 0.000], [3.393, 6.765, -0.495], [3.393, 0.419, 6.530]],
  "species": ["Tl", "Tl", "Tl", "Tl", "Tl", "Tl", "Tl", "Tl", "Ga", "Ga"],
  "fractional_positions": [[0.177, 0.767, 0.378], [0.278, 0.262, 0.181], [0.274, 0.613, 0.840], [0.722, 0.738, 0.819], [0.823, 0.233, 0.622], [0.677, 0.767, 0.378], [0.726, 0.387, 0.160], [0.323, 0.233, 0.622], [0.192, 0.000, 0.000], [0.808, 0.000, 0.000]],
  "space_group": "C2/m (12)",
  "formation_enthalpy_0k_ev_per_atom": 0.077,
  "total_energy_ev_per_cell": -24.2,
  "polymorph_energy_kj_per_mol_atoms": 2.3
}


7.
{
  "formula": "NpTlOsO6",
  "functional": "PBE",
  "state": "optimized geometry",
  "lattice_angstrom": [[-4.199, -4.687, -4.617], [1.364, -5.598, 4.443], [-2.968, 6.304, 2.895]],
  "species": ["O", "O", "O", "O", "O", "O", "O", "O", "O", "O", "O", "O", "Os", "Os", "Tl", "Tl", "Np", "Np"],
  "fractional_positions": [[0.461, 0.711, 0.922], [0.805, 0.081, 0.252], [0.447, 0.671, 0.252], [0.805, 0.671, 0.252], [0.830, 0.080, 0.660], [0.553, 0.919, 0.748], [0.539, 0.289, 0.078], [0.195, 0.329, 0.748], [0.195, 0.919, 0.748], [0.170, 0.920, 0.340], [0.447, 0.081, 0.252], [0.553, 0.329, 0.748], [0.500, 0.500, 0.000], [0.500, 0.000, 0.000], [0.894, 0.644, 0.788], [0.106, 0.356, 0.212], [0.500, 0.000, 0.500], [0.000, 0.000, 0.500]],
  "space_group": "Imma (74)",
  "total_energy_ev_per_cell": -143.9,
  "formation_energy_uncorrected_ev_per_atom": -1.74
}


no.,total magnetization (μB per cell)
1,0.27
2,0.00
3,3.05
4,0.00
5,0.00
6,0.00
7,3.58